Arrangement w

This record from the Alexandria database describes a relaxed structure of Tb6Nd3Tm. The functional is PBE-GGA.

Cell and atoms, written as POSCAR:
```
Tb6Nd3Tm
1.0
6.130 0.000 -2.488
-1.254 9.143 -3.089
-0.896 -0.496 6.589
Tb Nd Tm
6 3 1
Direct
0.441 0.313 0.372
0.069 0.687 0.628
0.559 0.687 0.628
0.931 0.313 0.372
0.363 0.079 0.727
0.637 0.921 0.273
0.930 0.300 0.859
0.070 0.700 0.141
0.000 0.000 0.000
0.500 0.500 0.000
```

Spin magnetization ... 0.0 μB/cell


Arrangement x

This record from the Alexandria database describes a relaxed structure of Tb6Nd3Tm. The functional is PBE-GGA.

Cell and atoms, written as POSCAR:
```
Tb6Nd3Tm
1.0
6.384 0.000 0.000
0.000 10.835 -1.636
0.000 -4.012 10.197
Tb Nd Tm
12 6 2
Direct
0.051 0.713 0.623
0.551 0.623 0.713
0.368 0.528 0.947
0.868 0.947 0.528
0.372 0.961 0.039
0.649 0.272 0.728
0.149 0.728 0.272
0.872 0.039 0.961
0.368 0.053 0.472
0.868 0.472 0.053
0.051 0.377 0.287
0.551 0.287 0.377
0.463 0.939 0.711
0.963 0.711 0.939
0.072 0.387 0.613
0.572 0.613 0.387
0.963 0.061 0.289
0.463 0.289 0.061
0.127 0.195 0.805
0.627 0.805 0.195
```

Spin magnetization ... 0.0 μB/cell


The most stable of them is arrangement x.


Arrangement w

This record from the Alexandria database describes a relaxed structure of Tb2Nd2Tm. The functional is PBE-GGA.

Cell and atoms, written as POSCAR:
```
Tb2Nd2Tm
1.0
6.281 0.000 0.000
0.000 6.801 0.000
0.000 -3.400 8.160
Tb Nd Tm
4 4 2
Direct
0.750 0.410 0.819
0.750 0.832 0.665
0.250 0.590 0.181
0.250 0.168 0.335
0.750 0.411 0.337
0.250 0.073 0.663
0.250 0.589 0.663
0.750 0.927 0.337
0.000 0.000 0.000
0.500 0.000 0.000
```

Spin magnetization ... 0.0 μB/cell


Arrangement x

This record from the Alexandria database describes a relaxed structure of Tb2Nd2Tm. The functional is PBE-GGA.

Cell and atoms, written as POSCAR:
```
Tb2Nd2Tm
1.0
6.301 0.000 0.000
-3.150 7.664 -2.120
0.000 0.165 6.822
Tb Nd Tm
4 4 2
Direct
0.618 0.398 0.652
0.220 0.602 0.848
0.382 0.602 0.348
0.780 0.398 0.152
0.818 0.799 0.053
0.019 0.201 0.447
0.182 0.201 0.947
0.981 0.799 0.553
0.581 0.000 0.750
0.419 0.000 0.250
```

Spin magnetization ... 0.0 μB/cell


The most stable of them is arrangement x.


Arrangement w

This record from the Alexandria database describes a relaxed structure of Tb4Nd5Tm2. The functional is PBE-GGA.

Cell and atoms, written as POSCAR:
```
Tb4Nd5Tm2
1.0
-1.019 2.228 2.534
1.454 -6.512 6.311
10.907 5.824 -3.186
Tb Nd Tm
4 5 2
Direct
0.000 0.310 0.000
0.597 0.597 0.194
0.000 0.690 0.000
0.403 0.403 0.806
0.852 0.054 0.704
0.852 0.650 0.704
0.148 0.350 0.296
0.148 0.946 0.296
0.500 0.000 0.000
0.270 0.270 0.540
0.730 0.730 0.460
```

Spin magnetization ... 0.0 μB/cell


Arrangement x

This record from the Alexandria database describes a relaxed structure of Tb4Nd5Tm2. The functional is PBE-GGA.

Cell and atoms, written as POSCAR:
```
Tb4Nd5Tm2
1.0
0.243 2.567 2.451
-9.988 4.616 -3.845
-4.108 -6.540 4.676
Tb Nd Tm
4 5 2
Direct
0.359 0.205 0.718
0.963 0.739 0.926
0.641 0.795 0.282
0.037 0.261 0.074
0.903 0.464 0.805
0.097 0.536 0.195
0.823 0.928 0.646
0.500 0.000 0.000
0.177 0.072 0.354
0.716 0.354 0.431
0.284 0.646 0.569
```

Spin magnetization ... 0.0 μB/cell


The most stable of them is arrangement x.


Arrangement w

This record from the Alexandria database describes a relaxed structure of Tb2Nd4Tm3. The functional is PBE-GGA.

Cell and atoms, written as POSCAR:
```
Tb2Nd4Tm3
1.0
-0.491 0.390 6.287
0.909 -9.835 0.120
9.734 -1.650 0.302
Tb Nd Tm
4 8 6
Direct
0.408 0.126 0.362
0.092 0.638 0.874
0.592 0.874 0.638
0.908 0.362 0.126
0.481 0.810 0.311
0.019 0.689 0.190
0.519 0.190 0.689
0.981 0.311 0.810
0.927 0.183 0.470
0.573 0.530 0.817
0.073 0.817 0.530
0.427 0.470 0.183
0.919 0.021 0.174
0.581 0.826 0.979
0.081 0.979 0.826
0.419 0.174 0.021
0.250 0.482 0.518
0.750 0.518 0.482
```

Spin magnetization ... 0.0 μB/cell


Arrangement x

This record from the Alexandria database describes a relaxed structure of Tb2Nd4Tm3. The functional is PBE-GGA.

Cell and atoms, written as POSCAR:
```
Tb2Nd4Tm3
1.0
5.089 -0.001 0.001
2.542 5.560 1.035
-0.002 1.419 10.673
Tb Nd Tm
2 4 3
Direct
0.332 0.336 0.775
0.668 0.664 0.225
0.667 0.667 0.888
0.001 0.997 0.334
0.999 0.003 0.666
0.333 0.333 0.112
0.334 0.332 0.446
0.000 0.000 0.000
0.666 0.668 0.554
```

Spin magnetization ... 0.0 μB/cell


The most stable of them is arrangement x.